A plane-wave DFT calculation with PBE-GGA was carried out for a relaxed TaIrRh crystal.

Cell: 6.159 6.159 6.159 Å, 153.39 153.39 37.98°
Element x y z (fractional)
Ir: 0.002 0.002 0.000
Ta: 0.666 0.666 0.000
Rh: 0.332 0.332 0.000

Output
* calculated volume: 15.597 A^3/atom
* ΔE_f: -1.044 eV/f.u.
* polymorph energy (0 for the lowest one): 0.195 eV/atom
* VASP energy: -29.1 eV/cell



A plane-wave DFT calculation with PBE-GGA was carried out for a relaxed Ta4IrRh3 crystal.

Cell: 3.392 3.392 11.334 Å, 90.00 90.00 90.00°
Element x y z (fractional)
Ta: 0.000 0.000 0.375
Ta: 0.000 0.000 0.876
Ta: 0.000 0.000 0.625
Ta: 0.000 0.000 0.124
Rh: 0.500 0.500 0.251
Rh: 0.500 0.500 0.749
Rh: 0.500 0.500 0.500
Ir: 0.500 0.500 0.000

Output
* calculated volume: 16.301 A^3/atom
* ΔE_f: -3.065 eV/f.u.
* VASP energy: -81.4 eV/cell



A plane-wave DFT calculation with PBE-GGA was carried out for a relaxed Ta2IrRh crystal.

Cell: 4.810 4.810 2.888 Å, 90.02 90.02 106.07°
Element x y z (fractional)
Ir: 0.500 0.000 0.500
Rh: 0.000 0.500 0.500
Ta: 0.000 0.000 0.000
Ta: 0.500 0.500 0.000

Output
* calculated volume: 16.054 A^3/atom
* ΔE_f: -2.173 eV/f.u.
* VASP energy: -42.1 eV/cell



A plane-wave DFT calculation with PBE-GGA was carried out for a relaxed TaIrRh crystal.

Cell: 4.427 5.219 5.219 Å, 64.89 64.91 64.91°
Element x y z (fractional)
Ta: 0.500 0.250 0.750
Ta: 0.500 0.750 0.250
Ir: 0.833 0.667 0.667
Ir: 0.167 0.333 0.333
Rh: 0.168 0.832 0.832
Rh: 0.832 0.168 0.168

Output
* calculated volume: 15.735 A^3/atom
* ΔE_f: -0.754 eV/f.u.
* polymorph energy (0 for the lowest one): 0.292 eV/atom
* VASP energy: -57.6 eV/cell



A plane-wave DFT calculation with PBE-GGA was carried out for a relaxed Ta2IrRh crystal.

Cell: 2.840 2.840 8.192 Å, 90.00 90.00 97.65°
Element x y z (fractional)
Ir: 0.000 0.000 0.496
Ta: 0.500 0.500 0.734
Ta: 0.000 0.000 0.015
Rh: 0.500 0.500 0.256

Output
* calculated volume: 16.374 A^3/atom
* ΔE_f: -0.771 eV/f.u.
* VASP energy: -40.7 eV/cell



A plane-wave DFT calculation with PBE-GGA was carried out for a relaxed Ta3IrRh2 crystal.

Cell: 2.888 2.888 11.522 Å, 90.00 90.00 90.00°
Element x y z (fractional)
Ta: 0.000 0.000 0.000
Ta: 0.000 0.000 0.333
Ta: 0.000 0.000 0.667
Rh: 0.500 0.500 0.165
Rh: 0.500 0.500 0.835
Ir: 0.500 0.500 0.500

Output
* calculated volume: 16.022 A^3/atom
* ΔE_f: -3.113 eV/f.u.
* VASP energy: -62.2 eV/cell



Q: Among the records above, which one has the highest ΔE_f?
A: number 4



Q: The lowest ΔE_f belongs to which entry?
A: Ta3IrRh2



Q: Which of these has the highest ΔE_f?
A: number 4